Record 1
A geometry-optimized Ac6FeAu2 structure, computed with PBE-GGA.

Cell lengths 7.353, 7.946, 11.051 Å; angles 90.00, 85.76, 90.00 degrees
Atoms (fractional coordinates):
Au (0.054, 0.605, 0.769)
Ac (0.192, 0.313, 0.941)
Ac (0.332, 0.806, 0.931)
Fe (0.500, 0.500, 0.000)
Ac (0.168, 0.306, 0.569)
Au (0.554, 0.895, 0.269)
Fe (0.000, 0.000, 0.500)
Ac (0.832, 0.694, 0.431)
Ac (0.357, 0.538, 0.246)
Au (0.446, 0.105, 0.731)
Ac (0.692, 0.187, 0.441)
Ac (0.643, 0.462, 0.754)
Au (0.946, 0.395, 0.231)
Ac (0.808, 0.687, 0.059)
Ac (0.668, 0.194, 0.069)
Ac (0.308, 0.813, 0.559)
Ac (0.857, 0.962, 0.746)
Ac (0.143, 0.038, 0.254)

**Energy relative to the elements**: -0.311 eV/atom
**Size of the total moment**: 0.00 μB per formula unit
**N(E_F)**: 1.09 states/eV/atom



Record 2
A geometry-optimized OsSeCl2 structure, computed with PBE-GGA.

Cell lengths 3.120, 3.120, 10.627 Å; angles 90.00, 90.00, 124.28 degrees
Atoms (fractional coordinates):
Os (0.000, 0.000, 0.503)
Se (0.500, 0.500, 0.689)
Cl (0.000, 0.000, 0.988)
Cl (0.500, 0.500, 0.319)

**Size of the total moment**: 0.00 μB per formula unit
**Relative energy among the computed polymorphs**: 0.5887 eV per atom
**Formation energy from raw total energies**: 0.47 eV/atom
**N(E_F)**: 1.38 states/eV/atom



Record 3
A geometry-optimized NaLiNiPb structure, computed with PBE-GGA.

Cell lengths 4.682, 4.682, 4.682 Å; angles 60.00, 60.00, 60.00 degrees
Atoms (fractional coordinates):
Li (0.750, 0.750, 0.750)
Na (0.500, 0.500, 0.500)
Ni (0.250, 0.250, 0.250)
Pb (0.000, 0.000, 0.000)

**Energy relative to the elements**: 0.007 eV/atom
**Size of the total moment**: 0.00 μB per formula unit
**N(E_F)**: 0.59 states/eV/atom



Record 4
A geometry-optimized Ca12Y5Er3 structure, computed with PBE-GGA.

Cell lengths 17.269, 17.269, 17.269 Å; angles 109.47, 109.47, 109.47 degrees
Atoms (fractional coordinates):
Ca (0.656, 0.428, 0.569)
Ca (0.844, 0.913, 0.272)
Y (0.000, 0.000, 0.500)
Y (0.375, 0.125, 0.750)
Ca (0.272, 0.859, 0.928)
Ca (0.272, 0.413, 0.844)
Ca (0.069, 0.156, 0.428)
Ca (0.413, 0.141, 0.569)
Er (0.875, 0.125, 0.250)
Ca (0.641, 0.072, 0.228)
Ca (0.928, 0.569, 0.156)
Y (0.500, 0.000, 0.000)
Ca (0.569, 0.928, 0.656)
Ca (0.859, 0.272, 0.428)
Ca (0.156, 0.087, 0.728)
Y (0.750, 0.125, 0.875)
Ca (0.931, 0.087, 0.859)
Er (0.750, 0.875, 0.625)
Er (0.625, 0.250, 0.375)
Y (0.625, 0.750, 0.875)
Y (0.875, 0.625, 0.750)
Ca (0.656, 0.228, 0.587)
Ca (0.141, 0.413, 0.069)
Er (0.250, 0.125, 0.375)
Y (0.500, 0.500, 0.500)
Y (0.500, 0.000, 0.500)
Y (0.625, 0.875, 0.250)
Ca (0.772, 0.344, 0.913)
Y (0.375, 0.250, 0.125)
Ca (0.928, 0.359, 0.272)
Ca (0.772, 0.428, 0.359)
Er (0.375, 0.750, 0.625)
Ca (0.087, 0.931, 0.359)
Ca (0.141, 0.728, 0.572)
Y (0.000, 0.000, 0.000)
Er (0.125, 0.875, 0.750)
Er (0.625, 0.375, 0.750)
Ca (0.359, 0.431, 0.087)
Er (0.250, 0.625, 0.875)
Er (0.750, 0.375, 0.125)
Er (0.125, 0.250, 0.875)
Ca (0.428, 0.772, 0.859)
Ca (0.572, 0.344, 0.931)
Ca (0.728, 0.141, 0.072)
Y (0.750, 0.625, 0.375)
Ca (0.087, 0.156, 0.228)
Ca (0.156, 0.069, 0.928)
Ca (0.569, 0.641, 0.413)
Y (0.500, 0.500, 0.000)
Ca (0.413, 0.272, 0.344)
Y (0.000, 0.500, 0.000)
Ca (0.587, 0.859, 0.431)
Ca (0.728, 0.587, 0.156)
Ca (0.641, 0.569, 0.913)
Ca (0.069, 0.913, 0.141)
Ca (0.428, 0.656, 0.069)
Ca (0.344, 0.572, 0.431)
Ca (0.228, 0.656, 0.087)
Y (0.125, 0.375, 0.250)
Ca (0.587, 0.728, 0.656)
Ca (0.344, 0.772, 0.413)
Ca (0.431, 0.359, 0.587)
Ca (0.228, 0.572, 0.641)
Ca (0.359, 0.928, 0.772)
Ca (0.072, 0.641, 0.728)
Ca (0.431, 0.072, 0.344)
Ca (0.572, 0.228, 0.141)
Y (0.000, 0.500, 0.500)
Ca (0.931, 0.844, 0.572)
Ca (0.913, 0.069, 0.641)
Er (0.375, 0.625, 0.250)
Er (0.875, 0.750, 0.125)
Ca (0.844, 0.931, 0.072)
Ca (0.859, 0.587, 0.931)
Ca (0.913, 0.844, 0.772)
Ca (0.072, 0.431, 0.844)
Y (0.125, 0.750, 0.375)
Y (0.250, 0.875, 0.125)
Y (0.250, 0.375, 0.625)
Y (0.875, 0.250, 0.625)

**Energy relative to the elements**: 1.033 eV/atom
**Size of the total moment**: 0.06 μB per formula unit
**N(E_F)**: 1.95 states/eV/atom



Record 5
A geometry-optimized Na3Sc3GeTe8 structure, computed with PBE-GGA.

Cell lengths 8.305, 8.320, 9.091 Å; angles 117.40, 90.00, 119.94 degrees
Atoms (fractional coordinates):
Sc (0.500, 0.000, 0.500)
Te (0.762, 0.524, 0.285)
Na (0.500, 0.500, 0.000)
Ge (0.000, 0.000, 0.500)
Te (0.739, 0.977, 0.715)
Te (0.741, 0.481, 0.722)
Na (0.000, 0.500, 0.000)
Te (0.238, 0.476, 0.715)
Te (0.259, 0.519, 0.278)
Te (0.762, 0.023, 0.285)
Te (0.238, 0.977, 0.715)
Sc (0.500, 0.500, 0.500)
Sc (0.000, 0.500, 0.500)
Na (0.000, 0.000, 0.000)
Te (0.261, 0.023, 0.285)

**Size of the total moment**: 0.00 μB per formula unit
**Formation energy from raw total energies**: -0.91 eV/atom
**N(E_F)**: 0.31 states/eV/atom



Record 6
A geometry-optimized Mg6Bi3Ir structure, computed with PBE-GGA.

Cell lengths 4.706, 9.409, 11.570 Å; angles 89.99, 90.00, 90.00 degrees
Atoms (fractional coordinates):
Bi (0.000, 0.196, 0.748)
Mg (0.500, 0.899, 0.089)
Mg (0.500, 0.609, 0.283)
Mg (0.000, 0.109, 0.217)
Bi (0.000, 0.804, 0.252)
Mg (0.000, 0.399, 0.411)
Ir (0.000, 0.000, 0.000)
Mg (0.000, 0.891, 0.783)
Bi (0.500, 0.696, 0.752)
Bi (0.000, 0.000, 0.500)
Bi (0.500, 0.500, 0.000)
Bi (0.500, 0.304, 0.248)
Mg (0.500, 0.391, 0.717)
Mg (0.500, 0.793, 0.491)
Mg (0.000, 0.601, 0.589)
Mg (0.000, 0.707, 0.991)
Mg (0.500, 0.101, 0.911)
Mg (0.000, 0.293, 0.009)
Mg (0.500, 0.207, 0.509)
Ir (0.500, 0.500, 0.500)

**Energy relative to the elements**: -0.169 eV/atom
**Size of the total moment**: 0.00 μB per formula unit
**N(E_F)**: 0.33 states/eV/atom



Record 7
A geometry-optimized Ce2SmIr structure, computed with PBE-GGA.

Cell lengths 3.928, 3.928, 9.242 Å; angles 77.73, 77.73, 60.00 degrees
Last column: magnetic moment on the atom in μB.
Atoms (fractional coordinates):
Ir (0.666, 0.666, 0.001)  0.00
Ce (0.061, 0.061, 0.817)  -0.51
Ce (0.272, 0.272, 0.183)  0.50
Sm (0.500, 0.500, 0.499)  0.01

**Energy relative to the elements**: -0.289 eV/atom
**Size of the total moment**: 0.02 μB per formula unit
**Relative energy among the computed polymorphs**: 0.1348 eV per atom
**N(E_F)**: 2.22 states/eV/atom



Record 8
A geometry-optimized Pm2SmTl structure, computed with PBE-GGA.

Cell lengths 3.680, 3.680, 9.432 Å; angles 90.00, 90.00, 90.00 degrees
Atoms (fractional coordinates):
Sm (0.500, 0.500, 0.500)
Tl (0.500, 0.500, 0.000)
Pm (0.000, 0.000, 0.773)
Pm (0.000, 0.000, 0.227)

**Energy relative to the elements**: -0.163 eV/atom
**Size of the total moment**: 0.00 μB per formula unit
**Relative energy among the computed polymorphs**: 0.0368 eV per atom
**N(E_F)**: 1.18 states/eV/atom



Record 9
A geometry-optimized ZrAuO3 structure, computed with PBE-GGA.

Cell lengths 4.102, 4.102, 4.102 Å; angles 90.00, 90.00, 90.00 degrees
Last column: magnetic moment on the atom in μB.
Atoms (fractional coordinates):
Zr (0.500, 0.500, 0.500)  0.69
O (0.500, 0.000, 0.000)  -0.03
O (0.000, 0.500, 0.000)  -0.03
O (0.000, 0.000, 0.500)  -0.03
Au (0.000, 0.000, 0.000)  -0.02

**Size of the total moment**: 0.79 μB per formula unit
**Formation energy from raw total energies**: -0.27 eV/atom
**N(E_F)**: 0.60 states/eV/atom



Record 10
A geometry-optimized Ce4Dy3PuSe8 structure, computed with PBE-GGA.

Cell lengths 8.269, 8.323, 8.268 Å; angles 119.78, 120.00, 90.00 degrees
Last column: magnetic moment on the atom in μB.
Atoms (fractional coordinates):
Ce (0.000, 0.000, 0.000)  0.83
Se (0.248, 0.740, 0.992)  -0.03
Dy (0.500, 0.500, 0.000)  0.01
Se (0.744, 0.740, 0.992)  -0.03
Ce (0.500, 0.000, 0.000)  0.78
Se (0.256, 0.260, 0.008)  -0.03
Ce (0.500, 0.000, 0.500)  0.83
Dy (0.000, 0.500, 0.500)  0.01
Dy (0.500, 0.500, 0.500)  0.01
Se (0.752, 0.260, 0.504)  -0.03
Se (0.746, 0.738, 0.492)  -0.01
Se (0.248, 0.740, 0.496)  -0.03
Pu (0.000, 0.500, 0.000)  5.40
Se (0.752, 0.260, 0.008)  -0.03
Se (0.254, 0.262, 0.508)  -0.01
Ce (0.000, 0.000, 0.500)  0.83

**Size of the total moment**: 9.58 μB per formula unit
**Formation energy from raw total energies**: -1.77 eV/atom
**N(E_F)**: 1.93 states/eV/atom



Record 11
A geometry-optimized Nd2Sm2Er4Tm structure, computed with PBE-GGA.

Cell lengths 3.601, 9.517, 9.580 Å; angles 115.26, 90.00, 100.91 degrees
Atoms (fractional coordinates):
Sm (0.853, 0.706, 0.338)
Nd (0.335, 0.670, 0.999)
Nd (0.665, 0.330, 0.001)
Tm (0.000, 0.000, 0.000)
Er (0.481, 0.961, 0.668)
Er (0.815, 0.631, 0.664)
Sm (0.147, 0.294, 0.662)
Er (0.185, 0.369, 0.336)
Er (0.519, 0.039, 0.332)

**Energy relative to the elements**: 0.004 eV/atom
**Size of the total moment**: 0.00 μB per formula unit
**N(E_F)**: 1.39 states/eV/atom



Record 12
A geometry-optimized AcSmLu2 structure, computed with PBE-GGA.

Cell lengths 4.139, 4.139, 7.990 Å; angles 90.00, 90.00, 90.00 degrees
Atoms (fractional coordinates):
Sm (0.500, 0.500, 0.000)
Lu (0.000, 0.000, 0.232)
Lu (0.000, 0.000, 0.768)
Ac (0.500, 0.500, 0.500)

**Energy relative to the elements**: 0.082 eV/atom
**Size of the total moment**: 0.00 μB per formula unit
**Relative energy among the computed polymorphs**: 0.0180 eV per atom
**N(E_F)**: 1.42 states/eV/atom



Record 13
A geometry-optimized HoInHg structure, computed with PBE-GGA.

Cell lengths 3.599, 4.883, 4.883 Å; angles 120.00, 90.00, 90.00 degrees
Atoms (fractional coordinates):
In (0.131, 0.000, 0.000)
Hg (0.209, 0.333, 0.667)
Ho (0.659, 0.667, 0.333)

**Energy relative to the elements**: -0.396 eV/atom
**Size of the total moment**: 0.00 μB per formula unit
**N(E_F)**: 0.61 states/eV/atom



Record 14
A geometry-optimized LaPm2Ge2 structure, computed with PBE-GGA.

Cell lengths 4.264, 7.968, 7.968 Å; angles 90.00, 90.00, 90.00 degrees
Atoms (fractional coordinates):
La (0.500, 0.500, 0.000)
Ge (0.500, 0.119, 0.881)
Ge (0.500, 0.381, 0.381)
Pm (0.000, 0.327, 0.673)
Ge (0.500, 0.881, 0.119)
Pm (0.000, 0.673, 0.327)
Ge (0.500, 0.619, 0.619)
La (0.500, 0.000, 0.500)
Pm (0.000, 0.173, 0.173)
Pm (0.000, 0.827, 0.827)

**Energy relative to the elements**: -0.719 eV/atom
**Size of the total moment**: 0.00 μB per formula unit
**N(E_F)**: 1.20 states/eV/atom



Record 15
A geometry-optimized Nb2SiB structure, computed with PBE-GGA.

Cell lengths 4.305, 4.305, 4.305 Å; angles 60.00, 60.00, 60.00 degrees
Atoms (fractional coordinates):
Nb (0.250, 0.250, 0.250)
Nb (0.750, 0.750, 0.750)
Si (0.500, 0.500, 0.500)
B (0.000, 0.000, 0.000)

**Size of the total moment**: 0.00 μB per formula unit
**Relative energy among the computed polymorphs**: 0.7636 eV per atom
**Formation energy from raw total energies**: 0.15 eV/atom
**N(E_F)**: 0.79 states/eV/atom



Record 16
A geometry-optimized Sc2TlCl structure, computed with PBE-GGA.

Cell lengths 6.413, 6.413, 6.413 Å; angles 150.05, 135.60, 54.49 degrees
Atoms (fractional coordinates):
Sc (0.785, 0.285, 0.500)
Sc (0.028, 0.028, 0.000)
Cl (0.210, 0.710, 0.500)
Tl (0.477, 0.477, 0.000)

**Size of the total moment**: 0.00 μB per formula unit
**Relative energy among the computed polymorphs**: 0.1194 eV per atom
**Formation energy from raw total energies**: -0.57 eV/atom
**N(E_F)**: 0.48 states/eV/atom



Record 17
A geometry-optimized Ti6Pd12Pb structure, computed with PBE-GGA.

Cell lengths 7.482, 7.482, 7.482 Å; angles 110.93, 110.93, 110.93 degrees
Atoms (fractional coordinates):
Pb (0.000, 0.000, 0.000)
Ti (0.590, 0.369, 0.079)
Pd (0.794, 0.664, 0.517)
Pd (0.517, 0.794, 0.664)
Ti (0.410, 0.631, 0.921)
Pd (0.206, 0.336, 0.483)
Pd (0.170, 0.735, 0.116)
Pd (0.336, 0.483, 0.206)
Pd (0.664, 0.517, 0.794)
Ti (0.369, 0.079, 0.590)
Pd (0.483, 0.206, 0.336)
Pd (0.884, 0.830, 0.265)
Pd (0.116, 0.170, 0.735)
Pd (0.265, 0.884, 0.830)
Ti (0.631, 0.921, 0.410)
Ti (0.079, 0.590, 0.369)
Ti (0.921, 0.410, 0.631)
Pd (0.735, 0.116, 0.170)
Pd (0.830, 0.265, 0.884)

**Energy relative to the elements**: -0.483 eV/atom
**Size of the total moment**: 0.00 μB per formula unit
**N(E_F)**: 0.91 states/eV/atom



Record 18
A geometry-optimized LaZn4Ag2 structure, computed with PBE-GGA.

Cell lengths 5.471, 5.569, 5.568 Å; angles 76.67, 61.21, 61.21 degrees
Atoms (fractional coordinates):
Zn (0.314, 0.376, 0.000)
Zn (0.686, 0.624, 0.000)
La (0.000, 0.000, 0.000)
Zn (0.314, 0.000, 0.375)
Ag (0.247, 0.503, 0.503)
Zn (0.686, 0.000, 0.625)
Ag (0.753, 0.497, 0.497)

**Energy relative to the elements**: -0.234 eV/atom
**Size of the total moment**: 0.00 μB per formula unit
**N(E_F)**: 0.37 states/eV/atom